DFT (PBE) results for a geometry-optimized SrCrTc4 structure.

## Properties
**E**: -8.166 eV/atom
**Crystal system**: cubic
**Total moment**: 2.5 μB per formula unit
**Formation energy**: 629 meV per atom

Cell lengths 5.3266, 5.3266, 5.3266 Å; angles 60.00, 60.00, 60.00 degrees
Last column: nearest neighbours and their distance in Å.
Fractional coordinates of all 6 atoms:
Sr (0.0000, 0.0000, 0.0000)  12 Tc 3.12, 4 Cr 3.26
Cr (0.2500, 0.2500, 0.2500)  12 Tc 3.12, 4 Sr 3.26
Tc (0.1272, 0.6243, 0.6243)  6 Tc 2.65-2.68
Tc (0.6243, 0.1272, 0.6243)  6 Tc 2.65-2.68
Tc (0.6243, 0.6243, 0.1272)  6 Tc 2.65-2.68
Tc (0.6243, 0.6243, 0.6243)  6 Tc 2.65-2.68